Entry 1:
Tb8Zn2Ru | PBE-GGA | relaxed

Summary:
Its energy relative to the lowest polymorph listed for this composition is 0.000 eV per formula unit. The uncorrected energy is -4.63 eV per atom. The crystal system is monoclinic.

Cell lengths 17.420, 5.181, 6.791 Å; angles 90.00, 107.22, 90.00 degrees
Space group C2/m (No. 12)
Unique sites:
Tb 0.027 0.000 0.288 x4
Tb 0.090 0.500 0.935 x4
Tb 0.159 0.500 0.465 x4
Tb 0.198 0.000 0.808 x4
Zn 0.186 0.000 0.218 x4
Ru 0.000 0.500 0.500 x2

***

Entry 2:
Tb3Zn7Ru2 | PBE-GGA | relaxed

Summary:
The uncorrected energy is -3.62 eV per atom. The crystal system is orthorhombic.

Cell lengths 4.163, 28.272, 3.970 Å; angles 90.00, 90.00, 90.00 degrees
Space group Cmmm (No. 65)
Unique sites:
Tb 0.000 0.000 0.000 x2
Tb 0.000 0.169 0.000 x4
Zn 0.000 0.082 0.500 x4
Zn 0.000 0.275 0.500 x4
Zn 0.000 0.421 0.000 x4
Zn 0.000 0.500 0.500 x2
Ru 0.000 0.362 0.500 x4